1.
DFT (GGA-PBE) results for an optimized crystal structure of Y2FeHg.

The structure belongs to space group I-42d (No. 122); the cell edges are 7.842, 7.842 and 6.103 Å and the angles 90.00°, 90.00° and 90.00°. Symmetry generates all atoms from Y at (0.191, 0.250, 0.125), Fe at (0.000, 0.000, 0.000) and Hg at (0.000, 0.000, 0.500).

Its formation energy is 0.25 eV per atom.

---

2.
DFT (GGA-PBE) results for an optimized crystal structure of CuNiRu.

The structure belongs to space group P3m1 (No. 156); the cell edges are 2.6171, 2.6171 and 6.3088 Å and the angles 90.00°, 90.00° and 120.00°. Symmetry generates all atoms from Cu at (0.0000, 0.0000, 0.0000), Ni at (0.6667, 0.3333, 0.3242) and Ru at (0.3333, 0.6667, 0.6481).

Its formation energy is 0.16 eV per atom.

---

Copy entry 2 word for word.
DFT (GGA-PBE) results for an optimized crystal structure of CuNiRu.

The structure belongs to space group P3m1 (No. 156); the cell edges are 2.6171, 2.6171 and 6.3088 Å and the angles 90.00°, 90.00° and 120.00°. Symmetry generates all atoms from Cu at (0.0000, 0.0000, 0.0000), Ni at (0.6667, 0.3333, 0.3242) and Ru at (0.3333, 0.6667, 0.6481).

Its formation energy is 0.16 eV per atom.